Record 1
Compound: CsRb2PbCl5
Source: Alexandria
Functional: PBE
Structure: optimized geometry

abc: 5.583 7.943 9.374
angles: 115.07 107.32 90.00
Fractional coordinates of all 9 atoms:
Cl  0.000  0.000  0.000
Cl  0.633  0.381  0.265
Cl  0.367  0.619  0.735
Cl  0.367  0.116  0.735
Cl  0.633  0.884  0.265
Cs  0.000  0.500  0.000
Pb  0.500  0.000  0.000
Rb  0.207  0.207  0.414
Rb  0.793  0.793  0.586

Output
Crystal system: orthorhombic
E_form (uncorrected), meV/atom: -1687
Space-group type: Immm (71)
N(E_F), states/eV/f.u.: 0.00
Magnetic moment, μB/f.u.: 0.0


Record 2
Compound: Cs2RbPbCl6
Source: Alexandria
Functional: PBE
Structure: optimized geometry

abc: 8.189 8.189 15.031
angles: 74.19 74.19 60.00
Fractional coordinates of all 20 atoms:
Cs  0.734  0.734  0.799
Cs  0.144  0.144  0.567
Cs  0.266  0.266  0.201
Cs  0.856  0.856  0.433
Cl  0.126  0.627  0.620
Cl  0.627  0.126  0.620
Cl  0.818  0.259  0.105
Cl  0.373  0.373  0.380
Cl  0.741  0.182  0.895
Cl  0.259  0.818  0.105
Cl  0.818  0.818  0.105
Cl  0.373  0.874  0.380
Cl  0.874  0.373  0.380
Cl  0.182  0.182  0.895
Cl  0.627  0.627  0.620
Cl  0.182  0.741  0.895
Pb  0.000  0.000  0.000
Pb  0.500  0.500  0.500
Rb  0.590  0.590  0.229
Rb  0.410  0.410  0.771

Output
Crystal system: trigonal
E_form (uncorrected), meV/atom: -1521
Space-group type: R-3m (166)
N(E_F), states/eV/f.u.: 0.24
Magnetic moment, μB/f.u.: 0.0


Record 3
Compound: CsRb2PbCl6
Source: Alexandria
Functional: PBE
Structure: optimized geometry

abc: 7.958 8.466 11.392
angles: 90.00 89.62 90.00
Each line ends with the local moment (μB).
Fractional coordinates of all 20 atoms:
Rb  0.028  0.928  0.255  0.00
Rb  0.528  0.572  0.755  0.00
Rb  0.472  0.428  0.245  0.00
Rb  0.972  0.072  0.745  0.00
Cl  0.659  0.266  0.586  0.04
Cl  0.362  0.933  0.717  0.04
Cl  0.275  0.674  0.061  0.04
Cl  0.841  0.766  0.914  0.04
Cl  0.225  0.174  0.439  0.04
Cl  0.862  0.567  0.217  0.04
Cl  0.725  0.326  0.939  0.04
Cl  0.138  0.433  0.783  0.04
Cl  0.159  0.234  0.086  0.04
Cl  0.775  0.826  0.561  0.04
Cl  0.341  0.734  0.414  0.04
Cl  0.638  0.067  0.283  0.04
Pb  0.000  0.500  0.000  0.09
Pb  0.500  0.000  0.500  0.09
Cs  0.500  0.000  0.000  0.00
Cs  0.000  0.500  0.500  0.00

Output
Crystal system: monoclinic
E_form (uncorrected), meV/atom: -1523
Space-group type: P2_1/c (14)
N(E_F), states/eV/f.u.: 6.48
Magnetic moment, μB/f.u.: 0.4


Record 4
Compound: Cs2RhPbCl6
Source: Alexandria
Functional: PBE
Structure: optimized geometry

abc: 7.530 7.530 7.541
angles: 60.05 60.05 90.00
Each line ends with the local moment (μB).
Fractional coordinates of all 10 atoms:
Cs  0.250  0.750  0.500  0.00
Cs  0.750  0.250  0.500  0.00
Cl  0.268  0.268  0.000  0.01
Cl  0.732  0.732  0.000  0.01
Cl  0.267  0.267  0.465  0.01
Cl  0.733  0.733  0.535  0.01
Cl  0.268  0.732  0.000  0.01
Cl  0.732  0.268  0.000  0.01
Pb  0.000  0.000  0.000  0.07
Rh  0.500  0.500  0.000  0.69

Output
Crystal system: tetragonal
E_form (uncorrected), meV/atom: -1254
Space-group type: I4/mmm (139)
N(E_F), states/eV/f.u.: 2.14
Magnetic moment, μB/f.u.: 1.0


Record 5
Compound: CsRhPbCl6
Source: Alexandria
Functional: PBE
Structure: optimized geometry

abc: 7.051 7.051 7.449
angles: 90.00 90.00 60.00
Fractional coordinates of all 9 atoms:
Cl  0.058  0.340  0.312
Cl  0.602  0.058  0.312
Cl  0.602  0.340  0.688
Cl  0.340  0.058  0.688
Cl  0.340  0.602  0.312
Cl  0.058  0.602  0.688
Pb  0.667  0.667  0.500
Rh  0.333  0.333  0.500
Cs  0.000  0.000  0.000

Output
Crystal system: trigonal
E_form (uncorrected), meV/atom: -1104
Space-group type: P312 (149)
Magnetic moment, μB/f.u.: 0.0


Record 6
Compound: Cs2RuPbCl6
Source: Alexandria
Functional: PBE
Structure: optimized geometry

abc: 7.495 7.495 7.494
angles: 60.00 60.00 90.00
Fractional coordinates of all 10 atoms:
Ru  0.500  0.500  0.000
Cl  0.730  0.730  0.540
Cl  0.270  0.270  0.000
Cl  0.270  0.730  0.000
Cl  0.270  0.270  0.460
Cl  0.730  0.730  0.000
Cl  0.730  0.270  0.000
Cs  0.250  0.750  0.500
Cs  0.750  0.250  0.500
Pb  0.000  0.000  0.000

Output
Crystal system: cubic
E_form (uncorrected), meV/atom: -1206
Space-group type: Fm-3m (225)
N(E_F), states/eV/f.u.: 0.00
Magnetic moment, μB/f.u.: 0.0


Record 7
Compound: Cs3Pb2S2Cl3
Source: Alexandria
Functional: PBE
Structure: optimized geometry

abc: 5.121 5.121 16.365
angles: 99.00 99.00 90.00
Fractional coordinates of all 10 atoms:
S  0.250  0.750  0.500
S  0.750  0.250  0.500
Pb  0.213  0.213  0.427
Pb  0.787  0.787  0.573
Cs  0.000  0.000  0.000
Cs  0.612  0.612  0.223
Cs  0.388  0.388  0.777
Cl  0.500  0.500  0.000
Cl  0.893  0.893  0.786
Cl  0.107  0.107  0.214

Output
Crystal system: tetragonal
E_form (uncorrected), meV/atom: -1304
Space-group type: I4/mmm (139)
N(E_F), states/eV/f.u.: 0.00
Magnetic moment, μB/f.u.: 0.0


Record 8
Compound: CsSbPb2Cl8
Source: Alexandria
Functional: PBE
Structure: optimized geometry

abc: 6.913 6.686 9.138
angles: 89.74 89.79 88.83
Fractional coordinates of all 12 atoms:
Cl  0.688  0.758  0.000
Cl  0.838  0.239  0.201
Cl  0.600  0.728  0.498
Cl  0.312  0.242  0.000
Cl  0.161  0.759  0.202
Cl  0.400  0.272  0.502
Cl  0.162  0.761  0.799
Cl  0.839  0.241  0.798
Cs  0.000  0.000  0.500
Pb  0.500  0.501  0.249
Pb  0.500  0.499  0.751
Sb  0.000  0.000  0.000

Output
Crystal system: triclinic
E_form (uncorrected), meV/atom: -1174
Space-group type: P-1 (2)
N(E_F), states/eV/f.u.: 0.00
Magnetic moment, μB/f.u.: 0.0